Zn5Ag2Au3 after structural relaxation. Source: Alexandria via LeMat-Bulk, functional PBE.

Computed properties:
DFT total energy in eV for the cell shown: -89.4
ΔE to the lowest computed polymorph in meV per atom: 69.9
Energy of formation in meV/atom: -46

```
data_Zn5Ag2Au3
_chemical_formula_sum 'Zn20 Ag8 Au12'
_symmetry_space_group_name_H-M 'I b a m'
_symmetry_Int_Tables_number 72
_symmetry_space_group_name_Hall '-I 2 2c'
_cell_length_a 10.3877
_cell_length_b 12.9959
_cell_length_c 5.2835
_cell_angle_alpha 90.00
_cell_angle_beta 90.00
_cell_angle_gamma 90.00
loop_
_atom_site_label
_atom_site_type_symbol
_atom_site_fract_x
_atom_site_fract_y
_atom_site_fract_z
Zn1 Zn 0.0000 0.0000 0.2500
Zn2 Zn 0.1244 0.3446 0.0000
Zn3 Zn 0.2499 0.0000 0.2500
Ag1 Ag 0.1260 0.2472 0.5000
Au1 Au 0.0000 0.5000 0.2500
Au2 Au 0.1261 0.1473 0.0000
```